Material: PaCl2F6
Method: DFT, PBE
State: relaxed

The structure in POSCAR format:
```
PaCl2F6
1.0
3.962 0.000 0.466
0.000 4.793 0.000
-1.008 -2.396 8.564
Pa Cl F
1 2 6
Direct
0.000 0.000 0.000 Pa
0.500 0.745 0.489 Cl
0.500 0.255 0.511 Cl
0.000 0.353 0.203 F
0.000 0.150 0.797 F
0.000 0.647 0.797 F
0.500 0.244 0.000 F
0.000 0.850 0.203 F
0.500 0.756 0.000 F
```

Computed properties:
As for the symmetry: Cmmm, No. 65. The value obtained for the density of states at the Fermi level is 5.21 states/eV per cell. As for the uncorrected formation energy: -2.357 eV/atom. As for the offset from the most stable computed form: 0.2002 eV/atom.

=====

Material: PaClF2
Method: DFT, PBE
State: relaxed

The structure in POSCAR format:
```
PaClF2
1.0
4.124 0.000 0.000
2.062 3.572 0.000
2.062 1.191 4.886
F Pa Cl
2 1 1
Direct
0.294 0.294 0.118 F
0.706 0.706 0.882 F
0.000 0.000 0.000 Pa
0.500 0.500 0.500 Cl
```

Computed properties:
As for the symmetry: R-3m, No. 166. The value obtained for the density of states at the Fermi level is 7.84 states/eV per cell. As for the uncorrected formation energy: -2.677 eV/atom. As for the offset from the most stable computed form: 0.1602 eV/atom.

=====

Material: PaCl6F
Method: DFT, PBE
State: relaxed

The structure in POSCAR format:
```
PaCl6F
1.0
-3.608 1.111 7.582
-6.533 -1.943 5.046
-0.095 -5.856 4.748
Pa Cl F
1 6 1
Direct
0.500 0.500 0.000 Pa
0.749 0.449 0.605 Cl
0.749 0.054 0.395 Cl
0.251 0.946 0.605 Cl
0.251 0.551 0.395 Cl
0.654 0.653 0.000 Cl
0.346 0.347 0.000 Cl
0.000 0.000 0.000 F
```

Computed properties:
As for the symmetry: C2/m, No. 12. The value obtained for the density of states at the Fermi level is 0.96 states/eV per cell. As for the uncorrected formation energy: -1.525 eV/atom.